(1)
Density functional theory data (PBE) for LiSiMo2 after structural relaxation. Values from VASP.

```
&SYSTEM
  ibrav = 0, nat = 4, ntyp = 3
/
ATOMIC_SPECIES
Mo 95.94 Mo.upf
Li 6.94 Li.upf
Si 28.09 Si.upf
ATOMIC_POSITIONS angstrom
Mo -5.852 -11.029 -6.054
Mo -11.490 -21.657 -11.887
Li -8.671 -16.343 -8.970
Si -2.890 -5.448 -2.990
CELL_PARAMETERS angstrom
-4.019 -6.429 -5.347
-2.520 -8.115 -3.725
-5.023 -7.246 -2.888
```

Output
- formation energy from raw total energies (eV/atom) = 0.25

---

(2)
Density functional theory data (PBE) for Tb7NdSm2 after structural relaxation. Values from VASP.

```
&SYSTEM
  ibrav = 0, nat = 10, ntyp = 3
/
ATOMIC_SPECIES
Sm 150.36 Sm.upf
Nd 144.24 Nd.upf
Tb 158.93 Tb.upf
ATOMIC_POSITIONS angstrom
Sm -3.790 -3.741 -3.087
Nd 0.000 0.000 0.000
Tb -1.762 -3.671 -5.476
Sm -1.897 -4.558 3.677
Tb 1.069 -4.893 4.635
Tb -3.574 -6.665 -1.792
Tb -2.113 -1.635 2.381
Tb -2.843 -4.150 0.295
Tb -3.131 -1.196 -1.255
Tb -2.556 -7.104 1.844
CELL_PARAMETERS angstrom
-4.993 0.264 1.430
-2.690 -3.271 -8.791
1.997 -5.293 7.951
```

Output
- energy of formation from the pure elements (eV per atom) = 0.68
- offset from the most stable computed form (meV/atom) = 662.9

---

What did the first record say?
Density functional theory data (PBE) for LiSiMo2 after structural relaxation. Values from VASP.

```
&SYSTEM
  ibrav = 0, nat = 4, ntyp = 3
/
ATOMIC_SPECIES
Mo 95.94 Mo.upf
Li 6.94 Li.upf
Si 28.09 Si.upf
ATOMIC_POSITIONS angstrom
Mo -5.852 -11.029 -6.054
Mo -11.490 -21.657 -11.887
Li -8.671 -16.343 -8.970
Si -2.890 -5.448 -2.990
CELL_PARAMETERS angstrom
-4.019 -6.429 -5.347
-2.520 -8.115 -3.725
-5.023 -7.246 -2.888
```

Output
- formation energy from raw total energies (eV/atom) = 0.25

---

- Number 1 is which compound?
  LiSiMo2